[1]
Material: TeRh2Cl
Method: DFT, PBE-GGA
State: relaxed

Lattice parameters (Å, degrees): 6.491 6.491 6.491 90.00 90.00 90.00
Space group Fm-3m (No. 225)
Unique sites:
1 Te 0.000 0.000 0.000
2 Rh 0.250 0.250 0.250
3 Cl 0.000 0.000 0.500

Summary:
Crystal system   cubic
Density of states at the Fermi level   0.5990 states/eV per atom
Raw formation energy   0.142 eV per atom
Volume   17.094 Å³/atom

=====

[2]
Material: Te2RhCl
Method: DFT, PBE-GGA
State: relaxed

Lattice parameters (Å, degrees): 4.1314 4.1314 23.4928 90.00 90.00 120.00
Space group R-3m (No. 166, hexagonal axes)
Unique sites:
1 Te 0.0000 0.0000 0.1147
2 Rh 0.0000 0.0000 0.5000
3 Cl 0.0000 0.0000 0.0000

Summary:
Crystal system   trigonal
Density of states at the Fermi level   0.4036 states/eV per atom
Raw formation energy   -0.394 eV per atom
Volume   28.939 Å³/atom

=====

[3]
Material: TeRhCl4
Method: DFT, PBE-GGA
State: relaxed

Lattice parameters (Å, degrees): 8.108 8.108 8.108 90.00 90.00 90.00
Space group F-43m (No. 216)
Unique sites:
1 Te 0.000 0.000 0.000
2 Rh 0.250 0.250 0.250
3 Cl 0.125 0.125 0.625

Summary:
Crystal system   cubic
Density of states at the Fermi level   1.5341 states/eV per atom
Raw formation energy   1.003 eV per atom
Volume   22.209 Å³/atom

=====

[4]
Material: Te2RhCl
Method: DFT, PBE-GGA
State: relaxed

Lattice parameters (Å, degrees): 3.9409 3.9409 22.0615 90.00 90.00 120.00
Space group R-3m (No. 166, hexagonal axes)
Unique sites:
1 Te 0.0000 0.0000 0.2287
2 Rh 0.0000 0.0000 0.5000
3 Cl 0.0000 0.0000 0.0000

Summary:
Crystal system   trigonal
Density of states at the Fermi level   0.6391 states/eV per atom
Raw formation energy   -0.370 eV per atom
Volume   24.727 Å³/atom

=====

Q: What is the formula in the second record?
A: Te2RhCl

=====

Q: Which value of volume does entry 4 give?
A: 24.727 Å³/atom